SrMn2Ag | GGA-PBE | relaxed

Geometry as POSCAR:
```
SrMn2Ag
1.0
9.8764 0.0075 0.0044
9.3271 3.2480 0.0044
9.3271 1.5812 2.8371
Mn Sr Ag
2 1 1
direct
0.4879 0.4879 0.4879
0.0121 0.0121 0.0121
0.2500 0.2500 0.2500
0.7500 0.7500 0.7500
```

Summary:
Its space-group type is R-3m, No. 166.

GaNi2Mo | GGA-PBE | relaxed

Geometry as POSCAR:
```
GaNi2Mo
1.0
2.7045 0.0000 0.0000
0.0000 2.7045 0.0000
0.0000 0.0000 6.9936
Ga Mo Ni
1 1 2
direct
0.5000 0.5000 0.0000
0.5000 0.5000 0.5000
0.0000 0.0000 0.2333
0.0000 0.0000 0.7667
```

Summary:
Its space-group type is P4/mmm, No. 123.

Calculated magnetization, 2.03, 0.00 μB per atom (same order as the records).
Calculated energy relative to the elements, 3.14, -0.74 eV per formula unit (same order as the records).
Calculated V, 22.67, 12.79 Å³ per atom (same order as the records).